DFT (PBE) results for UCdHg after structural relaxation.

Geometry as POSCAR:
```
UCdHg
1.0
0.000 3.562 3.562
3.562 0.000 3.562
3.562 3.562 0.000
U Cd Hg
1 1 1
Cartesian
0.000 0.000 0.000 U
5.342 5.342 5.342 Cd
1.781 1.781 1.781 Hg
```

**DFT formation energy**: 0.794 eV per atom
**ρ**: 10.13 Mg/m³
**Total magnetization**: 1.1458 μB/atom


DFT (PBE) results for UCdHg after structural relaxation.

Geometry as POSCAR:
```
UCdHg
1.0
0.000 3.481 3.481
3.481 0.000 3.481
3.481 3.481 0.000
U Cd Hg
1 1 1
Cartesian
0.000 0.000 0.000 U
3.481 3.481 3.481 Cd
5.222 5.222 5.222 Hg
```

**DFT formation energy**: 0.524 eV per atom
**ρ**: 10.84 Mg/m³
**Total magnetization**: 0.7331 μB/atom


DFT (PBE) results for CdHgW after structural relaxation.

Geometry as POSCAR:
```
CdHgW
1.0
0.000 3.269 3.269
3.269 0.000 3.269
3.269 3.269 0.000
Cd Hg W
1 1 1
Cartesian
0.000 0.000 0.000 Cd
3.269 3.269 3.269 Hg
1.635 1.635 1.635 W
```

**DFT formation energy**: 1.368 eV per atom
**ρ**: 11.80 Mg/m³
**Total magnetization**: 0.6289 μB/atom


DFT (PBE) results for Y3CdHg2 after structural relaxation.

Geometry as POSCAR:
```
Y3CdHg2
1.0
3.735 0.000 0.000
0.000 3.735 0.000
0.000 0.000 11.181
Y Cd Hg
3 1 2
Cartesian
0.000 0.000 0.000 Y
0.000 0.000 3.702 Y
0.000 0.000 7.479 Y
1.867 1.867 5.590 Cd
1.867 1.867 1.884 Hg
1.867 1.867 9.297 Hg
```

**DFT formation energy**: -0.464 eV per atom
**ρ**: 8.31 Mg/m³
**Total magnetization**: 0.0069 μB/atom


DFT (PBE) results for Y5CdHg4 after structural relaxation.

Geometry as POSCAR:
```
Y5CdHg4
1.0
3.730 0.000 0.000
0.000 3.730 0.000
0.000 0.000 18.682
Y Cd Hg
5 1 4
Cartesian
0.000 0.000 0.000 Y
0.000 0.000 3.726 Y
0.000 0.000 7.444 Y
0.000 0.000 11.238 Y
0.000 0.000 14.956 Y
1.865 1.865 9.341 Cd
1.865 1.865 1.863 Hg
1.865 1.865 5.617 Hg
1.865 1.865 13.065 Hg
1.865 1.865 16.820 Hg
```

**DFT formation energy**: -0.484 eV per atom
**ρ**: 8.69 Mg/m³
**Total magnetization**: 0.0057 μB/atom


DFT (PBE) results for YCd2Hg2 after structural relaxation.

Geometry as POSCAR:
```
YCd2Hg2
1.0
-2.235 2.235 6.269
2.235 -2.235 6.269
2.235 2.235 -6.269
Y Cd Hg
1 2 2
Cartesian
0.000 0.000 0.000 Y
0.000 0.000 4.941 Cd
0.000 0.000 7.598 Cd
2.235 0.000 3.135 Hg
0.000 2.235 3.135 Hg
```

**DFT formation energy**: -0.108 eV per atom
**ρ**: 9.48 Mg/m³
**Total magnetization**: 0.0022 μB/atom


| no. | total energy (eV/atom) |
| --- | --- |
| 1 | -3.369 |
| 2 | -3.639 |
| 3 | -3.350 |
| 4 | -3.945 |
| 5 | -3.925 |
| 6 | -1.878 |